Below is a relaxed YMo2Ir crystal, with properties calculated at the PBE-GGA level.

## Properties
- SG: R-3m
- Formation energy: 1.77 eV/f.u.
- Total moment: 0.01 μB/cell
- Relative energy among the computed polymorphs: 452 meV per atom
- Density: 11.0 g cm⁻³

Unit cell a=2.8908 b=2.8908 c=29.6541 alpha=90.00 beta=90.00 gamma=120.00
Positions (direct):
Y 0.0000 0.0000 0.0000
Y 0.3333 0.6667 0.6667
Y 0.6667 0.3333 0.3333
Mo 0.0000 0.0000 0.2403
Mo 0.0000 0.0000 0.7597
Mo 0.3333 0.6667 0.4263
Mo 0.3333 0.6667 0.9070
Mo 0.6667 0.3333 0.0930
Mo 0.6667 0.3333 0.5737
Ir 0.0000 0.0000 0.5000
Ir 0.3333 0.6667 0.1667
Ir 0.6667 0.3333 0.8333

***

Below is a relaxed YMoIr crystal, with properties calculated at the PBE-GGA level.

## Properties
- SG: F-43m
- Formation energy: 0.43 eV/f.u.
- Total moment: 0.00 μB/cell
- Relative energy among the computed polymorphs: 283 meV per atom
- Density: 9.6 g cm⁻³

Unit cell a=6.3985 b=6.3985 c=6.3985 alpha=90.00 beta=90.00 gamma=90.00
Positions (direct):
Y 0.0000 0.0000 0.0000
Y 0.0000 0.5000 0.5000
Y 0.5000 0.0000 0.5000
Y 0.5000 0.5000 0.0000
Mo 0.0000 0.0000 0.5000
Mo 0.0000 0.5000 0.0000
Mo 0.5000 0.0000 0.0000
Mo 0.5000 0.5000 0.5000
Ir 0.2500 0.2500 0.2500
Ir 0.2500 0.7500 0.7500
Ir 0.7500 0.2500 0.7500
Ir 0.7500 0.7500 0.2500

***

Below is a relaxed YMo2Ir crystal, with properties calculated at the PBE-GGA level.

## Properties
- SG: C2/m
- Formation energy: 0.75 eV/f.u.
- Total moment: 0.00 μB/cell
- Relative energy among the computed polymorphs: 198 meV per atom
- Density: 11.2 g cm⁻³

Unit cell a=5.4598 b=9.4601 c=2.8669 alpha=90.00 beta=108.65 gamma=90.00
Positions (direct):
Y 0.0000 0.0000 0.0000
Y 0.5000 0.5000 0.0000
Mo 0.2500 0.2500 0.5000
Mo 0.2500 0.7500 0.5000
Mo 0.7500 0.2500 0.5000
Mo 0.7500 0.7500 0.5000
Ir 0.0000 0.5000 0.0000
Ir 0.5000 0.0000 0.0000

***

Below is a relaxed YMo2Ir crystal, with properties calculated at the PBE-GGA level.

## Properties
- SG: Pm
- Formation energy: 0.37 eV/f.u.
- Total moment: 0.00 μB/cell
- Relative energy among the computed polymorphs: 102 meV per atom
- Density: 10.8 g cm⁻³

Unit cell a=2.9384 b=4.2568 c=5.9721 alpha=90.00 beta=104.02 gamma=90.00
Positions (direct):
Y 0.0000 0.0000 0.0000
Mo 0.2880 0.5000 0.7001
Mo 0.4348 0.0000 0.4990
Ir 0.6897 0.5000 0.2689